Rb2PbBr7 | PBE | relaxed

Geometry as CIF:
```
data_Rb2PbBr7
_cell_length_a 8.746
_cell_length_b 8.746
_cell_length_c 10.990
_cell_angle_alpha 90.00
_cell_angle_beta 90.00
_cell_angle_gamma 90.00
_symmetry_space_group_name_H-M 'I 4/m m m'
_symmetry_Int_Tables_number 139
_symmetry_space_group_name_Hall '-I 4 2'
loop_
_atom_site_label
_atom_site_type_symbol
_atom_site_fract_x
_atom_site_fract_y
_atom_site_fract_z
Rb1 Rb 0.000 0.500 0.250
Pb1 Pb 0.000 0.000 0.000
Br1 Br 0.000 0.000 0.266
Br2 Br 0.000 0.000 0.500
Br3 Br 0.229 0.229 0.000
```

Output
DOS at the Fermi energy: 6.9 states/eV/f.u.
magnetization: 0.00 μB per formula unit
uncorrected formation energy: -0.870 eV per atom

---

Ce5Co2Ge5 | PBE | relaxed

Geometry as CIF:
```
data_Ce5Co2Ge5
_cell_length_a 11.366
_cell_length_b 4.210
_cell_length_c 11.032
_cell_angle_alpha 90.00
_cell_angle_beta 107.91
_cell_angle_gamma 90.00
_symmetry_space_group_name_H-M 'C 1 2/m 1'
_symmetry_Int_Tables_number 12
_symmetry_space_group_name_Hall '-C 2y'
loop_
_atom_site_label
_atom_site_type_symbol
_atom_site_fract_x
_atom_site_fract_y
_atom_site_fract_z
Ce1 Ce 0.000 0.000 0.000
Ce2 Ce 0.132 0.500 0.760
Ce3 Ce 0.169 0.500 0.496
Co1 Co 0.183 0.500 0.257
Ge1 Ge 0.000 0.000 0.500
Ge2 Ge 0.093 0.000 0.279
Ge3 Ge 0.210 0.500 0.051
```

Output
DOS at the Fermi energy: 18.7 states/eV/f.u.
magnetization: 1.44 μB per formula unit
formation energy: -53 kJ per mole of atoms

---

K2VBAu | PBE | relaxed

Geometry as CIF:
```
data_K2VBAu
_cell_length_a 6.197
_cell_length_b 6.197
_cell_length_c 5.076
_cell_angle_alpha 90.00
_cell_angle_beta 90.00
_cell_angle_gamma 90.00
_symmetry_space_group_name_H-M 'P 4/m m m'
_symmetry_Int_Tables_number 123
_symmetry_space_group_name_Hall '-P 4 2'
loop_
_atom_site_label
_atom_site_type_symbol
_atom_site_fract_x
_atom_site_fract_y
_atom_site_fract_z
K1 K 0.000 0.500 0.000
V1 V 0.000 0.000 0.500
B1 B 0.500 0.500 0.500
Au1 Au 0.000 0.000 0.000
```

Output
DOS at the Fermi energy: 6.9 states/eV/f.u.
magnetization: 4.24 μB per formula unit
formation energy: 139 kJ per mole of atoms

---

AcBi3H | PBE | relaxed

Geometry as CIF:
```
data_AcBi3H
_cell_length_a 5.130
_cell_length_b 5.130
_cell_length_c 5.130
_cell_angle_alpha 90.00
_cell_angle_beta 90.00
_cell_angle_gamma 90.00
_symmetry_space_group_name_H-M 'P m -3 m'
_symmetry_Int_Tables_number 221
_symmetry_space_group_name_Hall '-P 4 2 3'
loop_
_atom_site_label
_atom_site_type_symbol
_atom_site_fract_x
_atom_site_fract_y
_atom_site_fract_z
Ac1 Ac 0.000 0.000 0.000
Bi1 Bi 0.000 0.500 0.500
H1 H 0.500 0.500 0.500
```

Output
total DFT energy (no corrections): -4.02 eV/atom
DOS at the Fermi energy: 2.5 states/eV/f.u.
magnetization: 0.00 μB per formula unit

---

Zn2Fe2Bi | PBE | relaxed

Geometry as CIF:
```
data_Zn2Fe2Bi
_cell_length_a 3.712
_cell_length_b 3.712
_cell_length_c 12.684
_cell_angle_alpha 90.00
_cell_angle_beta 90.00
_cell_angle_gamma 90.00
_symmetry_space_group_name_H-M 'I 4/m m m'
_symmetry_Int_Tables_number 139
_symmetry_space_group_name_Hall '-I 4 2'
loop_
_atom_site_label
_atom_site_type_symbol
_atom_site_fract_x
_atom_site_fract_y
_atom_site_fract_z
Zn1 Zn 0.000 0.000 0.113
Fe1 Fe 0.000 0.500 0.250
Bi1 Bi 0.000 0.000 0.500
```

Output
DOS at the Fermi energy: 4.5 states/eV/f.u.
magnetization: 5.03 μB per formula unit
formation energy: 38 kJ per mole of atoms

---

FeIr3Rh3 | PBE | relaxed

Geometry as CIF:
```
data_FeIr3Rh3
_cell_length_a 9.307
_cell_length_b 8.542
_cell_length_c 5.341
_cell_angle_alpha 90.00
_cell_angle_beta 90.26
_cell_angle_gamma 90.00
_symmetry_space_group_name_H-M 'C 1 2/m 1'
_symmetry_Int_Tables_number 12
_symmetry_space_group_name_Hall '-C 2y'
loop_
_atom_site_label
_atom_site_type_symbol
_atom_site_fract_x
_atom_site_fract_y
_atom_site_fract_z
Fe1 Fe 0.147 0.000 0.003
Ir1 Ir 0.000 0.251 0.000
Ir2 Ir 0.000 0.264 0.500
Ir3 Ir 0.144 0.000 0.484
Rh1 Rh 0.098 0.500 0.768
Rh2 Rh 0.249 0.238 0.750
```

Output
DOS at the Fermi energy: 9.3 states/eV/f.u.
magnetization: 2.82 μB per formula unit
formation energy: 23 kJ per mole of atoms

---

LiNd2Sb4Pt3 | PBE | relaxed

Geometry as CIF:
```
data_LiNd2Sb4Pt3
_cell_length_a 4.472
_cell_length_b 4.472
_cell_length_c 11.425
_cell_angle_alpha 90.00
_cell_angle_beta 90.00
_cell_angle_gamma 90.00
_symmetry_space_group_name_H-M 'P -4 m 2'
_symmetry_Int_Tables_number 115
_symmetry_space_group_name_Hall 'P -4 -2'
loop_
_atom_site_label
_atom_site_type_symbol
_atom_site_fract_x
_atom_site_fract_y
_atom_site_fract_z
Li1 Li 0.000 0.000 0.000
Nd1 Nd 0.000 0.500 0.762
Sb1 Sb 0.000 0.000 0.500
Sb2 Sb 0.000 0.500 0.131
Sb3 Sb 0.500 0.500 0.500
Pt1 Pt 0.000 0.500 0.360
Pt2 Pt 0.500 0.500 0.000
```

Output
DOS at the Fermi energy: 3.0 states/eV/f.u.
magnetization: 0.00 μB per formula unit
uncorrected formation energy: -0.821 eV per atom

---

Li2CePuTe4 | PBE | relaxed

Geometry as CIF:
```
data_Li2CePuTe4
_cell_length_a 7.255
_cell_length_b 4.365
_cell_length_c 7.543
_cell_angle_alpha 90.00
_cell_angle_beta 90.08
_cell_angle_gamma 90.00
_symmetry_space_group_name_H-M 'P 1 2/m 1'
_symmetry_Int_Tables_number 10
_symmetry_space_group_name_Hall '-P 2y'
loop_
_atom_site_label
_atom_site_type_symbol
_atom_site_fract_x
_atom_site_fract_y
_atom_site_fract_z
Li1 Li 0.000 0.000 0.000
Li2 Li 0.000 0.500 0.500
Ce1 Ce 0.500 0.000 0.000
Pu1 Pu 0.500 0.500 0.500
Te1 Te 0.238 0.500 0.833
Te2 Te 0.241 0.000 0.335
```

Output
DOS at the Fermi energy: 21.2 states/eV/f.u.
magnetization: 6.00 μB per formula unit
uncorrected formation energy: -1.118 eV per atom

---

The lowest DOS at the Fermi energy belongs to which entry?
AcBi3H

---

Which of these has the lowest DOS at the Fermi energy?
AcBi3H

---

Among the records above, which one has the highest DOS at the Fermi energy?
Li2CePuTe4

---

DOS at the Fermi energy of number 3 (K2VBAu)?
6.9 states/eV/f.u.